DFT (PBE) results for an optimized crystal structure of TbNiSb2.

a b c (Å): 4.360 4.360 9.482
angles (deg): 90.00 90.00 90.00
Fractional coordinates of all 8 atoms:
Tb 0.250 0.250 0.237
Tb 0.750 0.750 0.763
Ni 0.250 0.750 0.000
Ni 0.750 0.250 0.000
Sb 0.250 0.250 0.858
Sb 0.250 0.750 0.500
Sb 0.750 0.250 0.500
Sb 0.750 0.750 0.142

Output
ρ (g/cm3): 8.50
Symmetry: P4/nmm
Crystal system: tetragonal
N(E_F) (states/eV per cell): 7.3

---

DFT (PBE) results for an optimized crystal structure of Tb12NiSb6.

a b c (Å): 8.563 8.563 8.563
angles (deg): 99.74 99.74 99.74
Fractional coordinates of all 19 atoms:
Tb 0.014 0.943 0.690
Tb 0.057 0.310 0.986
Tb 0.195 0.549 0.416
Tb 0.310 0.986 0.057
Tb 0.416 0.195 0.549
Tb 0.451 0.584 0.805
Tb 0.549 0.416 0.195
Tb 0.584 0.805 0.451
Tb 0.690 0.014 0.943
Tb 0.805 0.451 0.584
Tb 0.943 0.690 0.014
Tb 0.986 0.057 0.310
Ni 0.000 0.000 0.000
Sb 0.121 0.313 0.642
Sb 0.313 0.642 0.121
Sb 0.358 0.879 0.687
Sb 0.642 0.121 0.313
Sb 0.687 0.358 0.879
Sb 0.879 0.687 0.358

Output
ρ (g/cm3): 7.50
Symmetry: R-3
Crystal system: trigonal
N(E_F) (states/eV per cell): 11.1

---

Going through the records in order, we get raw formation energy values of -693; -644 meV per atom.
Going through the records in order, we get final energy values of -21.43; -98.32 eV/f.u..